{"formula": "NiBiPb", "functional": "PBE-GGA", "state": "relaxed", "cell": [[3.807, 0.000, 0.000], [-1.904, 3.297, 0.000], [0.000, 0.000, 5.905]], "species": ["Ni", "Bi", "Pb"], "frac_coords": [[0.000, 0.000, 0.000], [0.667, 0.333, 0.249], [0.333, 0.667, 0.728]], "vol_a3_per_cell": 74.1, "spacegroup": "P3m1, No. 156", "total_energy_ev_per_atom": -4.37, "n_ef_per_ev_cell": 1.4}